VASP calculation (PBE-GGA) on crystalline ErPa2Se5 at its relaxed geometry.

abc: 7.600 7.600 8.567
angles: 116.33 116.33 90.00
Site moments in Bohr magnetons follow the coordinates.
Positions (direct):
Er 0.750 0.750 0.500  0.07
Er 0.250 0.250 0.500  0.07
Pa 0.148 0.352 0.000  1.28
Pa 0.648 0.148 0.000  1.28
Pa 0.352 0.852 0.000  1.28
Pa 0.852 0.648 0.000  1.28
Se 0.512 0.690 0.702  -0.02
Se 0.810 0.988 0.298  -0.02
Se 0.000 0.000 0.000  -0.03
Se 0.500 0.500 0.000  -0.03
Se 0.190 0.012 0.702  -0.02
Se 0.690 0.190 0.702  -0.02
Se 0.012 0.512 0.702  -0.02
Se 0.310 0.810 0.298  -0.02
Se 0.988 0.488 0.298  -0.02
Se 0.488 0.310 0.298  -0.02

## Properties
calculated total energy: -6.51 eV per atom
symmetry: I4/mcm, No. 140
size of the total moment: 0.372 μB/atom
crystal system: tetragonal
energy relative to the elements, uncorrected: -1388 meV per atom



VASP calculation (PBE-GGA) on crystalline Sb2Pd5Pt2 at its relaxed geometry.

abc: 4.946 7.564 9.383
angles: 113.77 105.28 90.00
Positions (direct):
Sb 0.000 0.870 0.000
Sb 0.500 0.370 0.000
Sb 0.198 0.444 0.500
Sb 0.802 0.944 0.500
Pd 0.330 0.619 0.834
Pd 0.670 0.785 0.166
Pd 0.004 0.119 0.834
Pd 0.996 0.285 0.166
Pd 0.161 0.039 0.333
Pd 0.839 0.706 0.667
Pd 0.672 0.539 0.333
Pd 0.328 0.206 0.667
Pd 0.305 0.787 0.500
Pd 0.695 0.287 0.500
Pt 0.171 0.623 0.160
Pt 0.829 0.463 0.840
Pt 0.489 0.123 0.160
Pt 0.511 0.963 0.840

## Properties
calculated total energy: -5.39 eV per atom
symmetry: Ima2, No. 46
size of the total moment: 0.000 μB/atom
crystal system: orthorhombic
energy relative to the elements, uncorrected: -249 meV per atom



> size of the total moment of number 2 (Sb2Pd5Pt2)?

0.000 μB/atom



Please write out number 2 again, unchanged.
VASP calculation (PBE-GGA) on crystalline Sb2Pd5Pt2 at its relaxed geometry.

abc: 4.946 7.564 9.383
angles: 113.77 105.28 90.00
Positions (direct):
Sb 0.000 0.870 0.000
Sb 0.500 0.370 0.000
Sb 0.198 0.444 0.500
Sb 0.802 0.944 0.500
Pd 0.330 0.619 0.834
Pd 0.670 0.785 0.166
Pd 0.004 0.119 0.834
Pd 0.996 0.285 0.166
Pd 0.161 0.039 0.333
Pd 0.839 0.706 0.667
Pd 0.672 0.539 0.333
Pd 0.328 0.206 0.667
Pd 0.305 0.787 0.500
Pd 0.695 0.287 0.500
Pt 0.171 0.623 0.160
Pt 0.829 0.463 0.840
Pt 0.489 0.123 0.160
Pt 0.511 0.963 0.840

## Properties
calculated total energy: -5.39 eV per atom
symmetry: Ima2, No. 46
size of the total moment: 0.000 μB/atom
crystal system: orthorhombic
energy relative to the elements, uncorrected: -249 meV per atom



> energy relative to the elements, uncorrected of number 2 (Sb2Pd5Pt2)?

-249 meV per atom



> Which of these has the highest size of the total moment?

ErPa2Se5